Compound: P2SIO
Source: the Alexandria database
Functional: PBEsol
Structure: relaxed

Cell: 5.154 5.154 5.050 Å, 90.00 90.00 90.00°
Fractional coordinates of all 5 atoms:
P (0.000, 0.500, 0.000)
P (0.500, 0.000, 0.000)
S (0.000, 0.000, 0.500)
I (0.000, 0.000, 0.000)
O (0.500, 0.500, 0.500)

## Properties
The raw formation energy is 1972 meV per atom. For the total moment, the calculation gives 0.6998 μB per atom.

---

Compound: Sb2PIO
Source: the Alexandria database
Functional: PBEsol
Structure: relaxed

Cell: 5.253 5.253 3.848 Å, 90.00 90.00 90.00°
Fractional coordinates of all 5 atoms:
Sb (0.000, 0.500, 0.000)
Sb (0.500, 0.000, 0.000)
P (0.000, 0.000, 0.500)
I (0.500, 0.500, 0.500)
O (0.000, 0.000, 0.000)

## Properties
The raw formation energy is 336 meV per atom. For the total moment, the calculation gives 0.0000 μB per atom.

---

Compound: SbPIO2
Source: the Alexandria database
Functional: PBEsol
Structure: relaxed

Cell: 4.060 4.060 5.144 Å, 90.00 90.00 90.00°
Fractional coordinates of all 5 atoms:
Sb (0.000, 0.000, 0.000)
P (0.500, 0.500, 0.500)
I (0.500, 0.500, 0.000)
O (0.000, 0.500, 0.500)
O (0.500, 0.000, 0.500)

## Properties
The raw formation energy is 174 meV per atom. For the total moment, the calculation gives 0.0001 μB per atom.

---

Compound: SiP2IO
Source: the Alexandria database
Functional: PBEsol
Structure: relaxed

Cell: 4.846 4.846 3.394 Å, 90.00 90.00 90.00°
Fractional coordinates of all 5 atoms:
Si (0.000, 0.000, 0.000)
P (0.000, 0.500, 0.000)
P (0.500, 0.000, 0.000)
I (0.500, 0.500, 0.500)
O (0.000, 0.000, 0.500)

## Properties
The raw formation energy is -100 meV per atom. For the total moment, the calculation gives 0.0000 μB per atom.

---

Compound: SnP2IO
Source: the Alexandria database
Functional: PBEsol
Structure: relaxed

Cell: 5.157 5.157 3.928 Å, 90.00 90.00 90.00°
Fractional coordinates of all 5 atoms:
Sn (0.000, 0.000, 0.000)
P (0.000, 0.500, 0.500)
P (0.500, 0.000, 0.500)
I (0.500, 0.500, 0.500)
O (0.500, 0.500, 0.000)

## Properties
The raw formation energy is 651 meV per atom. For the total moment, the calculation gives 0.0002 μB per atom.

---

Compound: SnPIO2
Source: the Alexandria database
Functional: PBEsol
Structure: relaxed

Cell: 4.083 4.083 5.359 Å, 90.00 90.00 90.00°
Fractional coordinates of all 5 atoms:
Sn (0.000, 0.000, 0.000)
P (0.500, 0.500, 0.000)
I (0.500, 0.500, 0.500)
O (0.000, 0.500, 0.500)
O (0.500, 0.000, 0.500)

## Properties
The raw formation energy is 104 meV per atom. For the total moment, the calculation gives 0.0000 μB per atom.

---

Compound: Sr2PIO4
Source: the Alexandria database
Functional: PBEsol
Structure: relaxed

Cell: 9.073 8.877 8.408 Å, 90.00 112.40 90.00°
Fractional coordinates of all 32 atoms:
Sr (0.148, 0.195, 0.039)
Sr (0.148, 0.305, 0.539)
Sr (0.248, 0.672, 0.950)
Sr (0.248, 0.828, 0.450)
Sr (0.752, 0.172, 0.550)
Sr (0.752, 0.328, 0.050)
Sr (0.852, 0.695, 0.461)
Sr (0.852, 0.805, 0.961)
P (0.042, 0.553, 0.242)
P (0.042, 0.947, 0.742)
P (0.958, 0.053, 0.258)
P (0.958, 0.447, 0.758)
I (0.491, 0.100, 0.741)
I (0.491, 0.400, 0.241)
I (0.509, 0.600, 0.759)
I (0.509, 0.900, 0.259)
O (0.069, 0.114, 0.712)
O (0.069, 0.386, 0.212)
O (0.105, 0.582, 0.439)
O (0.105, 0.918, 0.939)
O (0.126, 0.667, 0.165)
O (0.126, 0.833, 0.665)
O (0.142, 0.083, 0.336)
O (0.142, 0.417, 0.836)
O (0.858, 0.583, 0.164)
O (0.858, 0.917, 0.664)
O (0.874, 0.167, 0.335)
O (0.874, 0.333, 0.835)
O (0.895, 0.082, 0.061)
O (0.895, 0.418, 0.561)
O (0.931, 0.614, 0.788)
O (0.931, 0.886, 0.288)

## Properties
The raw formation energy is -2730 meV per atom. For the total moment, the calculation gives 0.0000 μB per atom.

---

Compound: TePIO2
Source: the Alexandria database
Functional: PBEsol
Structure: relaxed

Cell: 3.959 3.959 6.618 Å, 90.00 90.00 90.00°
Fractional coordinates of all 5 atoms:
Te (0.000, 0.000, 0.000)
P (0.500, 0.500, 0.500)
I (0.000, 0.000, 0.500)
O (0.000, 0.500, 0.000)
O (0.500, 0.000, 0.000)

## Properties
For the offset from the most stable computed form, the calculation gives 0.0 meV/atom. The raw formation energy is 78 meV per atom. For the total moment, the calculation gives 0.0004 μB per atom.